LiMo2Au: PBEsol geometry, meta-GGA SCAN.

Geometry as extended XYZ:
```
4
Lattice="-2.055 2.420 -0.789 -3.455 -2.977 -0.133 2.022 0.951 4.435" Properties=species:S:1:pos:R:3 pbc="T T T"
Mo -0.022 0.020 0.117
Mo -1.365 1.520 1.436
Li -2.091 -1.155 1.904
Au -2.765 -0.269 -0.405
```

Properties
Its symmetry is No. 44. The energy above the most stable polymorph in this dataset is 3.05 kcal/mol of atoms. The formation energy comes out at 0.1944 eV/atom.

Li3AuN: PBEsol geometry, meta-GGA SCAN.

Geometry as extended XYZ:
```
5
Lattice="-0.149 1.522 3.607 1.363 -3.363 1.475 3.669 1.311 -0.402" Properties=species:S:1:pos:R:3 pbc="T T T"
N 0.000 0.000 0.000
Li 0.682 -1.681 0.738
Li 1.835 0.656 -0.201
Li -0.074 0.761 1.803
Au 2.442 -0.265 2.340
```

Properties
Its symmetry is No. 221. The calculation puts the formation energy (no corrections) at -0.30 eV per atom.

Na2LiAu2: PBEsol geometry, meta-GGA SCAN.

Geometry as extended XYZ:
```
10
Lattice="4.635 0.000 0.000 0.000 6.769 0.000 0.000 0.000 6.769" Properties=species:S:1:pos:R:3 pbc="T T T"
Li 0.000 3.384 3.384
Li 0.000 0.000 0.000
Na 2.318 5.652 2.268
Na 2.318 4.501 5.652
Na 2.318 2.268 1.116
Na 2.318 1.116 4.501
Au 0.000 2.431 5.815
Au 0.000 0.954 2.431
Au 0.000 5.815 4.338
Au 0.000 4.338 0.954
```

Properties
Its symmetry is No. 127. The formation energy comes out at -0.3970 eV/atom.

NaLi2Au: PBEsol geometry, meta-GGA SCAN.

Geometry as extended XYZ:
```
4
Lattice="4.628 0.000 0.000 2.314 4.008 0.000 2.314 1.336 3.779" Properties=species:S:1:pos:R:3 pbc="T T T"
Na 0.000 0.000 0.000
Li 6.943 4.008 2.834
Li 2.314 1.336 0.945
Au 4.628 2.672 1.890
```

Properties
Its symmetry is No. 225. The formation energy comes out at -0.3958 eV/atom.

no.,VASP energy (eV per cell)
1,-140.540
2,-87.105
3,-302.237
4,-79.735